# 1
DFT (PBE) results for crystalline AgI2Cl2 at its relaxed geometry.

Calculated values
- total moment (μB/f.u.) = 0.00
- VASP energy (eV per cell) = -17.265
- ρ (g/cm3) = 4.997
- DOS at the Fermi energy (states/eV per cell) = 7.5
- ΔE_f (raw) (eV/atom) = 0.202
- energy above the lowest structure with this stoichiometry (kJ/mol of atoms) = 24.29

Unit cell a=7.6272 b=7.6272 c=4.9417 alpha=90.00 beta=90.00 gamma=90.00
Last column: nearest neighbours and their distance in Å.
Space group P4/mbm (No. 127)
Unique sites:
Ag 0.0000 0.0000 0.0000 [2 per cell]  4 I 2.90
I 0.1506 0.3494 0.0000 [4 per cell]  2 Ag 2.90, 2 Cl 3.10, 1 I 3.25
Cl 0.1761 0.6761 0.5000 [4 per cell]  2 I 3.10

# 2
DFT (PBE) results for crystalline Ag7ICl12 at its relaxed geometry.

Calculated values
- total moment (μB/f.u.) = 0.88
- VASP energy (eV per cell) = -149.167
- ρ (g/cm3) = 3.813
- DOS at the Fermi energy (states/eV per cell) = 59.7
- ΔE_f (raw) (eV/atom) = -0.303

Unit cell a=14.3985 b=14.3985 c=9.5139 alpha=90.00 beta=90.00 gamma=120.00
Last column: nearest neighbours and their distance in Å.
Space group R-3 (No. 148, hexagonal axes)
Unique sites:
Ag 0.0000 0.0000 0.0000 [3 per cell]  6 Cl 2.62
Ag 0.0559 0.8636 0.3259 [18 per cell]  3 Cl 2.41-2.60
I 0.0000 0.0000 0.5000 [3 per cell]  6 Ag 2.97
Cl 0.0352 0.4610 0.1504 [18 per cell]  2 Ag 2.44-2.60
Cl 0.0831 0.9141 0.8367 [18 per cell]  2 Ag 2.41-2.62

# 3
DFT (PBE) results for crystalline AgICl4 at its relaxed geometry.

Calculated values
- total moment (μB/f.u.) = 0.00
- VASP energy (eV per cell) = -26.623
- ρ (g/cm3) = 2.554
- ΔE_f (raw) (eV/atom) = -0.254
- energy above the lowest structure with this stoichiometry (kJ/mol of atoms) = 0.00

Unit cell a=7.6492 b=7.6628 c=8.3550 alpha=90.00 beta=90.00 gamma=90.00
Last column: nearest neighbours and their distance in Å.
Space group Pmmm (No. 47)
Unique sites:
Ag 0.0000 0.0000 0.0000 [1 per cell]  4 Cl 2.65
Ag 0.0000 0.5000 0.5000 [1 per cell]  4 Cl 2.66
I 0.0000 0.0000 0.5000 [1 per cell]  4 Cl 2.54
I 0.5000 0.0000 0.0000 [1 per cell]  4 Cl 2.54
Cl 0.2295 0.2397 0.5000 [4 per cell]  1 I 2.54, 1 Ag 2.66
Cl 0.2594 0.2292 0.0000 [4 per cell]  1 I 2.54, 1 Ag 2.65

# 4
DFT (PBE) results for crystalline AgICl6 at its relaxed geometry.

Calculated values
- total moment (μB/f.u.) = 0.00
- VASP energy (eV per cell) = -67.879
- ρ (g/cm3) = 2.785
- DOS at the Fermi energy (states/eV per cell) = 0.0
- ΔE_f (raw) (eV/atom) = -0.186
- energy above the lowest structure with this stoichiometry (kJ/mol of atoms) = 0.00

Unit cell a=11.3463 b=8.2518 c=11.3977 alpha=90.00 beta=90.22 gamma=90.00
Last column: nearest neighbours and their distance in Å.
Space group C2/c (No. 15)
Unique sites:
Ag 0.0000 0.0089 0.2500 [4 per cell]  4 Cl 2.59
I 0.2500 0.2500 0.0000 [4 per cell]  6 Cl 2.46-2.56
Cl 0.0470 0.2111 0.9050 [8 per cell]  1 I 2.56, 1 Ag 2.59
Cl 0.1570 0.2274 0.2033 [8 per cell]  1 I 2.56, 1 Ag 2.59
Cl 0.2188 0.4547 0.5037 [8 per cell]  1 I 2.46

# 5
DFT (PBE) results for crystalline Ag3ICl8 at its relaxed geometry.

Calculated values
- total moment (μB/f.u.) = 0.00
- VASP energy (eV per cell) = -55.759
- ρ (g/cm3) = 3.336
- ΔE_f (raw) (eV/atom) = -0.250

Unit cell a=8.2414 b=9.8425 c=9.0106 alpha=90.00 beta=90.00 gamma=90.00
Last column: nearest neighbours and their distance in Å.
Space group C222 (No. 21)
Unique sites:
Ag 0.0000 0.0000 0.0000 [2 per cell]  2 Cl 2.43
Ag 0.2500 0.2500 0.8187 [4 per cell]  4 Cl 2.63
I 0.0000 0.0000 0.5000 [2 per cell]  6 Cl 2.46-2.57
Cl 0.0000 0.2473 0.0000 [4 per cell]  3 Ag 2.43-2.63
Cl 0.0000 0.2504 0.5000 [4 per cell]  1 I 2.46
Cl 0.2202 0.0063 0.7018 [8 per cell]  1 I 2.57, 1 Ag 2.63

# 6
DFT (PBE) results for crystalline AgI2Cl at its relaxed geometry.

Calculated values
- total moment (μB/f.u.) = 0.00
- VASP energy (eV per cell) = -31.856
- ρ (g/cm3) = 4.829
- DOS at the Fermi energy (states/eV per cell) = 0.0
- ΔE_f (raw) (eV/atom) = -0.041
- energy above the lowest structure with this stoichiometry (kJ/mol of atoms) = 14.22

Unit cell a=10.0542 b=10.0542 c=5.4032 alpha=90.00 beta=90.00 gamma=90.00
Last column: nearest neighbours and their distance in Å.
Space group I-42d (No. 122)
Unique sites:
Ag 0.0000 0.0000 0.0000 [4 per cell]  2 Cl 2.70
I 0.2008 0.2500 0.1250 [8 per cell]  2 I 2.88
Cl 0.0000 0.0000 0.5000 [4 per cell]  2 Ag 2.70

Question: The highest VASP energy belongs to which entry?
Answer: AgI2Cl2

Question: Look up the total moment of the sixth one.
Answer: 0.00 μB/f.u.

Copy entry 3 word for word.
DFT (PBE) results for crystalline AgICl4 at its relaxed geometry.

Calculated values
- total moment (μB/f.u.) = 0.00
- VASP energy (eV per cell) = -26.623
- ρ (g/cm3) = 2.554
- ΔE_f (raw) (eV/atom) = -0.254
- energy above the lowest structure with this stoichiometry (kJ/mol of atoms) = 0.00

Unit cell a=7.6492 b=7.6628 c=8.3550 alpha=90.00 beta=90.00 gamma=90.00
Last column: nearest neighbours and their distance in Å.
Space group Pmmm (No. 47)
Unique sites:
Ag 0.0000 0.0000 0.0000 [1 per cell]  4 Cl 2.65
Ag 0.0000 0.5000 0.5000 [1 per cell]  4 Cl 2.66
I 0.0000 0.0000 0.5000 [1 per cell]  4 Cl 2.54
I 0.5000 0.0000 0.0000 [1 per cell]  4 Cl 2.54
Cl 0.2295 0.2397 0.5000 [4 per cell]  1 I 2.54, 1 Ag 2.66
Cl 0.2594 0.2292 0.0000 [4 per cell]  1 I 2.54, 1 Ag 2.65